# 1
Entry from Alexandria via LeMat-Bulk: crystalline DySi2TcIr at its relaxed geometry (PBE).

Cell lengths 5.6556, 5.6556, 5.6556 Å; angles 136.41, 136.41, 63.34 degrees
Fractional positions:
Dy 0.0000 0.0000 0.0000
Si 0.3717 0.3717 0.0000
Si 0.6283 0.6283 0.0000
Tc 0.7500 0.2500 0.5000
Ir 0.2500 0.7500 0.5000

Values from the calculation:
E_tot (Ha/atom): -0.288
Formation energy from raw total energies (kJ/mol of atoms): -86.6

=====

# 2
Entry from Alexandria via LeMat-Bulk: crystalline DyTh2Si2Ir7 at its relaxed geometry (PBE).

Cell lengths 4.0926, 4.0926, 13.3026 Å; angles 95.53, 95.53, 89.54 degrees
Fractional positions:
Dy 0.0000 0.0000 0.0000
Th 0.0997 0.0997 0.3458
Th 0.9003 0.9003 0.6542
Si 0.4224 0.4224 0.7497
Si 0.5776 0.5776 0.2503
Ir 0.0495 0.5489 0.1583
Ir 0.3697 0.3697 0.5722
Ir 0.4511 0.9505 0.8417
Ir 0.5000 0.5000 0.0000
Ir 0.5489 0.0495 0.1583
Ir 0.6303 0.6303 0.4278
Ir 0.9505 0.4511 0.8417

Values from the calculation:
E_tot (Ha/atom): -0.312
Formation energy from raw total energies (kJ/mol of atoms): -77.6

=====

# 3
Entry from Alexandria via LeMat-Bulk: crystalline Dy2Th2Si4Ir at its relaxed geometry (PBE).

Cell lengths 6.4601, 6.4601, 6.4601 Å; angles 115.24, 115.24, 98.46 degrees
Fractional positions:
Dy 0.1839 0.1839 0.0000
Dy 0.8161 0.8161 0.0000
Th 0.2500 0.7500 0.5000
Th 0.7500 0.2500 0.5000
Si 0.2541 0.2541 0.5082
Si 0.2541 0.7459 0.0000
Si 0.7459 0.2541 0.0000
Si 0.7459 0.7459 0.4918
Ir 0.5000 0.5000 0.0000

Values from the calculation:
E_tot (Ha/atom): -0.237
Formation energy from raw total energies (kJ/mol of atoms): -37.7

=====

# 4
Entry from Alexandria via LeMat-Bulk: crystalline Dy2Th2SiIr4 at its relaxed geometry (PBE).

Cell lengths 6.5408, 6.5408, 6.5408 Å; angles 121.06, 121.06, 88.18 degrees
Fractional positions:
Dy 0.2500 0.7500 0.5000
Dy 0.7500 0.2500 0.5000
Th 0.1920 0.1920 0.0000
Th 0.8080 0.8080 0.0000
Si 0.5000 0.5000 0.0000
Ir 0.2420 0.2420 0.4841
Ir 0.2420 0.7580 0.0000
Ir 0.7580 0.2420 0.0000
Ir 0.7580 0.7580 0.5159

Values from the calculation:
E_tot (Ha/atom): -0.280
Formation energy from raw total energies (kJ/mol of atoms): -39.8

=====

# 5
Entry from Alexandria via LeMat-Bulk: crystalline Dy2TiSi3Ir4 at its relaxed geometry (PBE).

Cell lengths 4.0673, 4.0673, 10.4205 Å; angles 90.00, 90.00, 90.00 degrees
Fractional positions:
Dy 0.0000 0.5000 0.2406
Dy 0.5000 0.0000 0.7594
Ti 0.0000 0.0000 0.5000
Si 0.0000 0.5000 0.8737
Si 0.5000 0.0000 0.1263
Si 0.5000 0.5000 0.5000
Ir 0.0000 0.0000 0.0000
Ir 0.0000 0.5000 0.6433
Ir 0.5000 0.0000 0.3567
Ir 0.5000 0.5000 0.0000

Values from the calculation:
E_tot (Ha/atom): -0.291
Formation energy from raw total energies (kJ/mol of atoms): -100.6

=====

# 6
Entry from Alexandria via LeMat-Bulk: crystalline DyTmSiIr at its relaxed geometry (PBE).

Cell lengths 3.9280, 5.6654, 5.6654 Å; angles 43.10, 90.00, 90.00 degrees
Fractional positions:
Dy 0.0000 0.0000 0.0000
Tm 0.5000 0.2834 0.2834
Si 0.5000 0.5769 0.5769
Ir 0.0000 0.7211 0.7211

Values from the calculation:
E_tot (Ha/atom): -0.247
Formation energy from raw total energies (kJ/mol of atoms): -85.4

=====

# 7
Entry from Alexandria via LeMat-Bulk: crystalline Dy2Tm2SiIr4 at its relaxed geometry (PBE).

Cell lengths 6.3302, 6.3302, 6.3302 Å; angles 119.42, 119.42, 91.01 degrees
Fractional positions:
Dy 0.1913 0.1913 0.0000
Dy 0.8087 0.8087 0.0000
Tm 0.2500 0.7500 0.5000
Tm 0.7500 0.2500 0.5000
Si 0.5000 0.5000 0.0000
Ir 0.2452 0.2452 0.4905
Ir 0.2452 0.7548 0.0000
Ir 0.7548 0.2452 0.0000
Ir 0.7548 0.7548 0.5095

Values from the calculation:
E_tot (Ha/atom): -0.261
Formation energy from raw total energies (kJ/mol of atoms): -53.8

=====

# 8
Entry from Alexandria via LeMat-Bulk: crystalline Dy2Tm2Si4Ir at its relaxed geometry (PBE).

Cell lengths 6.4044, 6.4044, 6.4044 Å; angles 115.86, 115.86, 97.33 degrees
Fractional positions:
Dy 0.2500 0.7500 0.5000
Dy 0.7500 0.2500 0.5000
Tm 0.1878 0.1878 0.0000
Tm 0.8122 0.8122 0.0000
Si 0.2506 0.2506 0.5012
Si 0.2506 0.7494 0.0000
Si 0.7494 0.2506 0.0000
Si 0.7494 0.7494 0.4988
Ir 0.5000 0.5000 0.0000

Values from the calculation:
E_tot (Ha/atom): -0.213
Formation energy from raw total energies (kJ/mol of atoms): -37.7

=====

# 9
Entry from Alexandria via LeMat-Bulk: crystalline Dy2ZnSi4Ir3 at its relaxed geometry (PBE).

Cell lengths 4.1094, 4.1094, 10.0829 Å; angles 90.00, 90.00, 90.00 degrees
Fractional positions:
Dy 0.0000 0.5000 0.2430
Dy 0.5000 0.0000 0.7570
Zn 0.0000 0.0000 0.5000
Si 0.0000 0.0000 0.0000
Si 0.0000 0.5000 0.6398
Si 0.5000 0.0000 0.3602
Si 0.5000 0.5000 0.0000
Ir 0.0000 0.5000 0.8743
Ir 0.5000 0.0000 0.1257
Ir 0.5000 0.5000 0.5000

Values from the calculation:
E_tot (Ha/atom): -0.248
Formation energy from raw total energies (kJ/mol of atoms): -84.7

=====

# 10
Entry from Alexandria via LeMat-Bulk: crystalline Dy2ZnSi2Ir5 at its relaxed geometry (PBE).

Cell lengths 9.6898, 9.6898, 3.4886 Å; angles 90.00, 90.00, 90.00 degrees
Fractional positions:
Dy 0.1744 0.3256 0.0000
Dy 0.3256 0.8256 0.0000
Dy 0.6744 0.1744 0.0000
Dy 0.8256 0.6744 0.0000
Zn 0.0000 0.0000 0.0000
Zn 0.5000 0.5000 0.0000
Si 0.1258 0.6258 0.0000
Si 0.3742 0.1258 0.0000
Si 0.6258 0.8742 0.0000
Si 0.8742 0.3742 0.0000
Ir 0.0000 0.5000 0.5000
Ir 0.0671 0.7899 0.5000
Ir 0.2101 0.0671 0.5000
Ir 0.2899 0.5671 0.5000
Ir 0.4329 0.2899 0.5000
Ir 0.5000 0.0000 0.5000
Ir 0.5671 0.7101 0.5000
Ir 0.7101 0.4329 0.5000
Ir 0.7899 0.9329 0.5000
Ir 0.9329 0.2101 0.5000

Values from the calculation:
E_tot (Ha/atom): -0.270
Formation energy from raw total energies (kJ/mol of atoms): -76.5

=====

# 11
Entry from Alexandria via LeMat-Bulk: crystalline Dy2ZnSi3Ir4 at its relaxed geometry (PBE).

Cell lengths 4.1203, 4.1203, 10.0522 Å; angles 90.00, 90.00, 90.00 degrees
Fractional positions:
Dy 0.0000 0.5000 0.2490
Dy 0.5000 0.0000 0.7510
Zn 0.5000 0.5000 0.0000
Si 0.0000 0.0000 0.0000
Si 0.0000 0.5000 0.6283
Si 0.5000 0.0000 0.3717
Ir 0.0000 0.0000 0.5000
Ir 0.0000 0.5000 0.8617
Ir 0.5000 0.0000 0.1383
Ir 0.5000 0.5000 0.5000

Values from the calculation:
E_tot (Ha/atom): -0.263
Formation energy from raw total energies (kJ/mol of atoms): -90.7

=====

# 12
Entry from Alexandria via LeMat-Bulk: crystalline Sm3DyIr at its relaxed geometry (PBE).

Cell lengths 5.5415, 5.5415, 5.5415 Å; angles 90.00, 90.00, 90.00 degrees
Fractional positions:
Sm 0.0000 0.0000 0.5000
Sm 0.0000 0.5000 0.0000
Sm 0.5000 0.0000 0.0000
Dy 0.5000 0.5000 0.5000
Ir 0.0000 0.0000 0.0000

Values from the calculation:
E_tot (Ha/atom): -0.209
DFT formation energy (eV per atom): -0.16

=====

What did the tenth record say?
Entry from Alexandria via LeMat-Bulk: crystalline Dy2ZnSi2Ir5 at its relaxed geometry (PBE).

Cell lengths 9.6898, 9.6898, 3.4886 Å; angles 90.00, 90.00, 90.00 degrees
Fractional positions:
Dy 0.1744 0.3256 0.0000
Dy 0.3256 0.8256 0.0000
Dy 0.6744 0.1744 0.0000
Dy 0.8256 0.6744 0.0000
Zn 0.0000 0.0000 0.0000
Zn 0.5000 0.5000 0.0000
Si 0.1258 0.6258 0.0000
Si 0.3742 0.1258 0.0000
Si 0.6258 0.8742 0.0000
Si 0.8742 0.3742 0.0000
Ir 0.0000 0.5000 0.5000
Ir 0.0671 0.7899 0.5000
Ir 0.2101 0.0671 0.5000
Ir 0.2899 0.5671 0.5000
Ir 0.4329 0.2899 0.5000
Ir 0.5000 0.0000 0.5000
Ir 0.5671 0.7101 0.5000
Ir 0.7101 0.4329 0.5000
Ir 0.7899 0.9329 0.5000
Ir 0.9329 0.2101 0.5000

Values from the calculation:
E_tot (Ha/atom): -0.270
Formation energy from raw total energies (kJ/mol of atoms): -76.5